No. 1
VASP calculation (PBE) on a relaxed structure of Cr2TcHg.

Cell: 9.0486 2.8139 4.9361 Å, 90.00 99.92 90.00°
Space group C2/m (No. 12)
Inequivalent atoms, fractional coordinates:
1 Cr 0.2445 0.0000 0.1719 x4
2 Tc 0.0000 0.5000 0.0000 x2
3 Hg 0.0000 0.0000 0.5000 x2

## Properties
Magnetic moment: 0.00 μB/f.u.
DFT formation energy: 534 meV per atom
D(E_F): 4.80 states/eV/f.u.
Uncorrected energy: -27.8 eV/f.u.

***

No. 2
VASP calculation (PBE) on a relaxed structure of YCr2TcHg.

Cell: 4.4946 4.4946 5.3647 Å, 90.00 90.00 90.00°
Space group P4/mmm (No. 123)
Inequivalent atoms, fractional coordinates:
1 Y 0.0000 0.0000 0.0000 x1
2 Cr 0.0000 0.5000 0.5000 x2
3 Tc 0.0000 0.0000 0.5000 x1
4 Hg 0.5000 0.5000 0.0000 x1

## Properties
Magnetic moment: 0.00 μB/f.u.
DFT formation energy: 1000 meV per atom
D(E_F): 8.51 states/eV/f.u.
Uncorrected energy: -31.4 eV/f.u.

***

No. 3
VASP calculation (PBE) on a relaxed structure of ZrCr2TcHg.

Cell: 4.5759 4.5759 4.8060 Å, 90.00 90.00 90.00°
Space group P4/mmm (No. 123)
Inequivalent atoms, fractional coordinates:
1 Zr 0.0000 0.0000 0.0000 x1
2 Cr 0.0000 0.5000 0.0000 x2
3 Tc 0.0000 0.0000 0.5000 x1
4 Hg 0.5000 0.5000 0.5000 x1

## Properties
Magnetic moment: 0.70 μB/f.u.
DFT formation energy: 1908 meV per atom
D(E_F): 8.93 states/eV/f.u.
Uncorrected energy: -28.9 eV/f.u.

***

No. 4
VASP calculation (PBE) on a relaxed structure of CrHg2Te.

Cell: 3.4805 4.7344 12.3125 Å, 90.00 90.00 90.00°
Space group Imm2 (No. 44)
Inequivalent atoms, fractional coordinates:
1 Cr 0.0000 0.0000 0.0000 x2
2 Hg 0.0000 0.0000 0.5221 x2
3 Hg 0.0000 0.5000 0.6943 x2
4 Te 0.0000 0.5000 0.3336 x2

## Properties
Magnetic moment: 3.65 μB/f.u.
D(E_F): 1.75 states/eV/f.u.
Uncorrected energy: -12.6 eV/f.u.
E_form (uncorrected): 0.8 eV/f.u.

***

Question: Look up the magnetic moment of the third one.
Answer: 0.70 μB/f.u.

***

Repeat the fourth record exactly.
VASP calculation (PBE) on a relaxed structure of CrHg2Te.

Cell: 3.4805 4.7344 12.3125 Å, 90.00 90.00 90.00°
Space group Imm2 (No. 44)
Inequivalent atoms, fractional coordinates:
1 Cr 0.0000 0.0000 0.0000 x2
2 Hg 0.0000 0.0000 0.5221 x2
3 Hg 0.0000 0.5000 0.6943 x2
4 Te 0.0000 0.5000 0.3336 x2

## Properties
Magnetic moment: 3.65 μB/f.u.
D(E_F): 1.75 states/eV/f.u.
Uncorrected energy: -12.6 eV/f.u.
E_form (uncorrected): 0.8 eV/f.u.